Computed, not measured: Zr3Tc at its PBEsol-relaxed geometry at the SCAN level of DFT.

Cell: 4.447 6.050 6.050 Å, 107.05 90.00 90.00°
Fractional coordinates of all 8 atoms:
Tc 0.250 0.625 0.375
Tc 0.750 0.375 0.625
Zr 0.250 0.108 0.892
Zr 0.750 0.892 0.108
Zr 0.250 0.155 0.405
Zr 0.750 0.845 0.595
Zr 0.750 0.405 0.155
Zr 0.250 0.595 0.845

Summary:
- space-group type = Cmcm (63)

=====

Computed, not measured: Zr4Tc3 at its PBEsol-relaxed geometry at the SCAN level of DFT.

Cell: 5.134 5.134 5.618 Å, 90.00 90.00 120.00°
Fractional coordinates of all 7 atoms:
Tc 0.000 0.500 0.000
Tc 0.500 0.000 0.000
Tc 0.500 0.500 0.000
Zr 0.000 0.000 0.748
Zr 0.000 0.000 0.252
Zr 0.333 0.667 0.500
Zr 0.667 0.333 0.500

Summary:
- space-group type = P6/mmm (191)

=====

Computed, not measured: Zr5Tc24 at its PBEsol-relaxed geometry at the SCAN level of DFT.

Cell: 8.310 8.310 8.310 Å, 109.47 109.47 109.47°
Fractional coordinates of all 29 atoms:
Tc 0.625 0.820 0.625
Tc 0.805 0.180 0.805
Tc 0.195 0.000 0.375
Tc 0.375 0.000 0.195
Tc 0.820 0.625 0.625
Tc 0.180 0.805 0.805
Tc 0.000 0.375 0.195
Tc 0.000 0.195 0.375
Tc 0.625 0.625 0.820
Tc 0.805 0.805 0.180
Tc 0.375 0.195 0.000
Tc 0.195 0.375 0.000
Tc 0.606 0.280 0.606
Tc 0.326 0.720 0.326
Tc 0.674 0.000 0.394
Tc 0.394 0.000 0.674
Tc 0.280 0.606 0.606
Tc 0.720 0.326 0.326
Tc 0.000 0.394 0.674
Tc 0.000 0.674 0.394
Tc 0.606 0.606 0.280
Tc 0.326 0.326 0.720
Tc 0.394 0.674 0.000
Tc 0.674 0.394 0.000
Zr 0.377 0.377 0.377
Zr 0.000 0.623 0.000
Zr 0.000 0.000 0.623
Zr 0.623 0.000 0.000
Zr 0.000 0.000 0.000

Summary:
- space-group type = I-43m (217)

=====

Computed, not measured: Zr4Tc at its PBEsol-relaxed geometry at the SCAN level of DFT.

Cell: 3.612 3.612 8.671 Å, 102.02 102.02 90.00°
Fractional coordinates of all 5 atoms:
Tc 0.000 0.000 0.000
Zr 0.250 0.750 0.500
Zr 0.415 0.415 0.831
Zr 0.585 0.585 0.169
Zr 0.750 0.250 0.500

Summary:
- space-group type = I4/mmm (139)
- energy relative to the lowest polymorph listed for this composition (meV/atom) = 902

=====

Computed, not measured: Zr3Tc5 at its PBEsol-relaxed geometry at the SCAN level of DFT.

Cell: 4.496 5.531 5.531 Å, 109.55 90.00 90.00°
Fractional coordinates of all 8 atoms:
Tc 0.000 0.000 0.000
Tc 0.000 0.500 0.000
Tc 0.000 0.000 0.500
Tc 0.500 0.758 0.758
Tc 0.500 0.242 0.242
Zr 0.000 0.500 0.500
Zr 0.500 0.752 0.248
Zr 0.500 0.248 0.752

Summary:
- space-group type = Cmmm (65)

=====

Computed, not measured: Zr5Tc at its PBEsol-relaxed geometry at the SCAN level of DFT.

Cell: 3.248 3.248 11.597 Å, 90.00 90.00 90.00°
Fractional coordinates of all 6 atoms:
Tc 0.500 0.500 0.000
Zr 0.000 0.000 0.864
Zr 0.000 0.000 0.136
Zr 0.500 0.500 0.682
Zr 0.500 0.500 0.318
Zr 0.000 0.000 0.500

Summary:
- space-group type = P4/mmm (123)
- energy relative to the lowest polymorph listed for this composition (meV/atom) = 16

=====

Computed, not measured: Zr3Tc at its PBEsol-relaxed geometry at the SCAN level of DFT.

Cell: 3.267 3.267 7.309 Å, 90.00 90.00 90.00°
Fractional coordinates of all 4 atoms:
Tc 0.000 0.000 0.000
Zr 0.000 0.000 0.500
Zr 0.500 0.500 0.215
Zr 0.500 0.500 0.785

Summary:
- space-group type = P4/mmm (123)

=====

Computed, not measured: Zr5Tc at its PBEsol-relaxed geometry at the SCAN level of DFT.

Cell: 3.287 5.680 7.258 Å, 108.67 90.00 106.82°
Fractional coordinates of all 6 atoms:
Tc 0.500 0.000 0.500
Zr 0.146 0.292 0.355
Zr 0.834 0.668 0.190
Zr 0.500 0.000 0.000
Zr 0.166 0.332 0.810
Zr 0.854 0.708 0.645

Summary:
- space-group type = C2/m (12)
- energy relative to the lowest polymorph listed for this composition (meV/atom) = 0

=====

| no. | E_form (eV per atom) |
| --- | --- |
| 1 | -0.169 |
| 2 | -0.310 |
| 3 | -0.261 |
| 4 | 0.679 |
| 5 | -0.339 |
| 6 | -0.136 |
| 7 | -0.235 |
| 8 | -0.152 |